! meta-GGA SCAN BeRuPt2, PBEsol geometry; values from VASP
! * energy relative to the elements: -208 meV/atom
! * DOS at the Fermi energy: 2.85 states/eV/f.u.
&SYSTEM
  ibrav = 0, nat = 4, ntyp = 3
/
ATOMIC_SPECIES
Pt 195.08 Pt.upf
Ru 101.07 Ru.upf
Be 9.01 Be.upf
ATOMIC_POSITIONS crystal
Pt 0.104 0.000 0.262
Ru 0.500 0.500 0.000
Be 0.500 0.500 0.500
Pt 0.896 0.000 0.738
CELL_PARAMETERS angstrom
-0.629 -1.671 2.022
3.593 0.234 1.310
-1.076 4.601 2.130

---

! meta-GGA SCAN AlSiGe2, PBEsol geometry; values from VASP
! * DOS at the Fermi energy: 2.13 states/eV/f.u.
! * formation energy without anion corrections: 0.4157 eV/atom
&SYSTEM
  ibrav = 0, nat = 4, ntyp = 3
/
ATOMIC_SPECIES
Ge 72.64 Ge.upf
Si 28.09 Si.upf
Al 26.98 Al.upf
ATOMIC_POSITIONS crystal
Ge 0.750 0.750 0.750
Si 0.500 0.500 0.500
Al 0.000 0.000 0.000
Ge 0.250 0.250 0.250
CELL_PARAMETERS angstrom
4.565 0.000 0.000
2.283 3.954 0.000
2.283 1.318 3.727

---

! meta-GGA SCAN BeAs2W, PBEsol geometry; values from VASP
! * energy relative to the elements: 348 meV/atom
! * DOS at the Fermi energy: 1.33 states/eV/f.u.
&SYSTEM
  ibrav = 0, nat = 4, ntyp = 3
/
ATOMIC_SPECIES
As 74.92 As.upf
W 183.84 W.upf
Be 9.01 Be.upf
ATOMIC_POSITIONS crystal
As 0.743 0.485 0.316
W 0.255 0.510 0.735
Be 0.521 0.042 0.548
As 0.982 0.963 0.901
CELL_PARAMETERS angstrom
3.224 0.000 0.000
-1.612 4.283 0.145
0.000 -0.660 4.574

---

! meta-GGA SCAN RbGa2SiSe, PBEsol geometry; values from VASP
! * DOS at the Fermi energy: 3.57 states/eV/f.u.
! * formation energy without anion corrections: 1.4626 eV/atom
&SYSTEM
  ibrav = 0, nat = 5, ntyp = 4
/
ATOMIC_SPECIES
Si 28.09 Si.upf
Se 78.96 Se.upf
Ga 69.72 Ga.upf
Rb 85.47 Rb.upf
ATOMIC_POSITIONS crystal
Si 0.500 0.500 0.500
Se 0.000 0.000 0.500
Ga 0.000 0.500 0.000
Rb 0.000 0.000 0.000
Ga 0.500 0.000 0.000
CELL_PARAMETERS angstrom
5.568 0.000 0.000
0.000 5.568 0.000
0.000 0.000 5.712

---

! meta-GGA SCAN YAl3Os, PBEsol geometry; values from VASP
! * energy relative to the elements: -343 meV/atom
! * DOS at the Fermi energy: 1.20 states/eV/f.u.
&SYSTEM
  ibrav = 0, nat = 5, ntyp = 3
/
ATOMIC_SPECIES
Al 26.98 Al.upf
Os 190.23 Os.upf
Y 88.91 Y.upf
ATOMIC_POSITIONS crystal
Al 0.500 0.000 0.000
Os 0.000 0.000 0.000
Al 0.000 0.500 0.000
Y 0.500 0.500 0.500
Al 0.000 0.000 0.500
CELL_PARAMETERS angstrom
-1.074 3.715 -2.623
-4.337 -0.025 1.741
1.370 2.835 3.454

---

! meta-GGA SCAN TlRe2Hg, PBEsol geometry; values from VASP
! * energy relative to the elements: 732 meV/atom
! * energy above the most stable polymorph in this dataset: 0.287 eV/atom
! * DOS at the Fermi energy: 2.86 states/eV/f.u.
&SYSTEM
  ibrav = 0, nat = 4, ntyp = 3
/
ATOMIC_SPECIES
Tl 204.38 Tl.upf
Re 186.21 Re.upf
Hg 200.59 Hg.upf
ATOMIC_POSITIONS crystal
Tl 0.000 0.000 0.523
Re 0.000 0.000 0.975
Re 0.500 0.500 0.780
Hg 0.500 0.500 0.221
CELL_PARAMETERS angstrom
2.845 -0.010 0.000
-1.336 2.512 0.000
0.000 0.000 10.615

---

! meta-GGA SCAN BeZn2PtW, PBEsol geometry; values from VASP
! * energy relative to the elements: 602 meV/atom
! * DOS at the Fermi energy: 2.16 states/eV/f.u.
&SYSTEM
  ibrav = 0, nat = 5, ntyp = 4
/
ATOMIC_SPECIES
Be 9.01 Be.upf
Zn 65.41 Zn.upf
W 183.84 W.upf
Pt 195.08 Pt.upf
ATOMIC_POSITIONS crystal
Be 0.000 0.000 0.000
Zn 0.000 0.000 0.500
W 0.500 0.500 0.500
Zn 0.000 0.500 0.000
Pt 0.500 0.000 0.000
CELL_PARAMETERS angstrom
4.054 0.000 0.000
0.000 4.135 0.000
0.000 0.000 4.135

---

! meta-GGA SCAN Eu2Cu6P5, PBEsol geometry; values from VASP
! * energy relative to the elements: -563 meV/atom
! * DOS at the Fermi energy: 2.50 states/eV/f.u.
&SYSTEM
  ibrav = 0, nat = 13, ntyp = 3
/
ATOMIC_SPECIES
Cu 63.55 Cu.upf
Eu 151.96 Eu.upf
P 30.97 P.upf
ATOMIC_POSITIONS crystal
Cu 0.250 0.750 0.500
Eu 0.649 0.649 0.298
P 0.500 0.500 0.000
P 0.895 0.895 0.790
Cu 0.553 0.053 0.105
P 0.802 0.802 0.604
Cu 0.053 0.553 0.105
Eu 0.351 0.351 0.702
Cu 0.447 0.947 0.895
P 0.198 0.198 0.396
Cu 0.750 0.250 0.500
Cu 0.947 0.447 0.895
P 0.105 0.105 0.210
CELL_PARAMETERS angstrom
-1.694 -2.622 2.435
3.399 -2.022 0.188
2.608 9.034 8.324

---

! meta-GGA SCAN LiSnF2, PBEsol geometry; values from VASP
! * energy above the most stable polymorph in this dataset: 0.403 eV/atom
! * DOS at the Fermi energy: 0.51 states/eV/f.u.
! * formation energy without anion corrections: -1.9254 eV/atom
&SYSTEM
  ibrav = 0, nat = 4, ntyp = 3
/
ATOMIC_SPECIES
Li 6.94 Li.upf
F 19.00 F.upf
Sn 118.71 Sn.upf
ATOMIC_POSITIONS crystal
Li 0.000 0.000 0.000
F 0.076 0.076 0.771
F 0.924 0.924 0.229
Sn 0.500 0.500 0.500
CELL_PARAMETERS angstrom
3.211 0.000 0.000
1.605 2.781 0.000
1.605 0.927 7.354

---

! meta-GGA SCAN CsSnI2N, PBEsol geometry; values from VASP
! * DOS at the Fermi energy: 3.83 states/eV/f.u.
! * formation energy without anion corrections: 0.8749 eV/atom
&SYSTEM
  ibrav = 0, nat = 5, ntyp = 4
/
ATOMIC_SPECIES
I 126.90 I.upf
N 14.01 N.upf
Cs 132.91 Cs.upf
Sn 118.71 Sn.upf
ATOMIC_POSITIONS crystal
I 0.000 0.500 0.000
N 0.500 0.000 0.000
Cs 0.000 0.000 0.000
I 0.000 0.000 0.500
Sn 0.500 0.500 0.500
CELL_PARAMETERS angstrom
5.319 0.000 0.000
0.000 6.841 0.000
0.000 0.000 6.841

---

! meta-GGA SCAN HgAu4Br, PBEsol geometry; values from VASP
! * DOS at the Fermi energy: 4.29 states/eV/f.u.
! * formation energy without anion corrections: 0.1547 eV/atom
&SYSTEM
  ibrav = 0, nat = 6, ntyp = 3
/
ATOMIC_SPECIES
Au 196.97 Au.upf
Hg 200.59 Hg.upf
Br 79.90 Br.upf
ATOMIC_POSITIONS crystal
Au 0.375 0.375 0.375
Au 0.375 0.876 0.375
Au 0.375 0.375 0.876
Hg 0.000 0.000 0.000
Br 0.750 0.750 0.750
Au 0.876 0.375 0.375
CELL_PARAMETERS angstrom
-2.951 -0.547 4.631
-5.252 -1.674 -0.256
-1.386 -5.025 1.811

---

! meta-GGA SCAN La7Y, PBEsol geometry; values from VASP
! * energy relative to the elements: 10 meV/atom
! * DOS at the Fermi energy: 11.26 states/eV/f.u.
&SYSTEM
  ibrav = 0, nat = 8, ntyp = 2
/
ATOMIC_SPECIES
La 138.91 La.upf
Y 88.91 Y.upf
ATOMIC_POSITIONS crystal
La 0.000 0.000 0.500
La 0.000 0.500 0.500
La 0.500 0.000 0.500
La 0.000 0.500 0.000
La 0.500 0.000 0.000
La 0.500 0.500 0.000
La 0.500 0.500 0.500
Y 0.000 0.000 0.000
CELL_PARAMETERS angstrom
-6.227 2.663 2.506
-5.971 -0.366 -4.044
-5.352 -4.476 1.861